Entry one
Compound: TaCuH
Source: Alexandria
Functional: PBE
Structure: optimized geometry

Lattice parameters (Å, degrees): 2.9765 2.9765 4.4737 90.00 90.00 120.00
Space group P3m1 (No. 156)
Unique sites:
Ta 0.0000 0.0000 0.0000 (multiplicity 1)
Cu 0.6667 0.3333 0.4789 (multiplicity 1)
H 0.3333 0.6667 0.7891 (multiplicity 1)

Results
density of states at the Fermi level: 0.8310 states/eV per atom
crystal system: trigonal
magnetic moment: 0.00 μB/f.u.
theoretical density: 11876 kg/m³

***

Entry two
Compound: TaCuH
Source: Alexandria
Functional: PBE
Structure: optimized geometry

Lattice parameters (Å, degrees): 2.9469 4.7464 5.4715 114.69 105.42 90.03
Space group P-1 (No. 2)
Unique sites:
Ta 0.1031 0.3593 0.1938 (multiplicity 2)
Cu 0.3611 0.1137 0.7205 (multiplicity 2)
H 0.2895 0.6887 0.5857 (multiplicity 2)

Results
density of states at the Fermi level: 0.4203 states/eV per atom
crystal system: triclinic
magnetic moment: 0.00 μB/f.u.
theoretical density: 12263 kg/m³

***

Quick one: most stable of them? entry two

***

Entry one
Compound: CuTc2H2
Source: Alexandria
Functional: PBE
Structure: optimized geometry

Lattice parameters (Å, degrees): 3.2401 3.2401 8.9614 90.00 90.00 90.00
Space group I4/mmm (No. 139)
Unique sites:
Cu 0.0000 0.0000 0.0000 (multiplicity 2)
Tc 0.0000 0.0000 0.3483 (multiplicity 4)
H 0.0000 0.5000 0.2500 (multiplicity 4)

Results
density of states at the Fermi level: 0.4254 states/eV per atom
crystal system: tetragonal
magnetic moment: 0.00 μB/f.u.
theoretical density: 9234 kg/m³

***

Entry two
Compound: CuTc2H2
Source: Alexandria
Functional: PBE
Structure: optimized geometry

Lattice parameters (Å, degrees): 5.6933 5.6933 2.9300 90.00 90.00 90.00
Space group P4/mbm (No. 127)
Unique sites:
Cu 0.0000 0.0000 0.0000 (multiplicity 2)
Tc 0.1448 0.3552 0.5000 (multiplicity 4)
H 0.1998 0.6998 0.0000 (multiplicity 4)

Results
density of states at the Fermi level: 0.6690 states/eV per atom
crystal system: tetragonal
magnetic moment: 0.00 μB/f.u.
theoretical density: 9147 kg/m³

***

Quick one: most stable of them? entry one